The following is a DFT calculation (PBE) of Sm2Er2Pb2C after structural relaxation.

Lattice parameters (Å, degrees): 4.8105 4.8105 8.8849 105.71 105.71 90.00
With the nearest neighbours (Å) after each atom.
Atoms (fractional coordinates):
Sm (0.1585, 0.1585, 0.3169)  1 C 2.60
Er (0.0000, 0.5000, 0.0000)  2 C 2.41
Pb (0.3609, 0.3609, 0.7217)  4 Er 3.32, 5 Sm 3.32-3.42
C (0.0000, 0.0000, 0.0000)  4 Er 2.41, 2 Sm 2.60
Er (0.5000, 0.0000, 0.0000)  2 C 2.41
Sm (0.8415, 0.8415, 0.6831)  1 C 2.60
Pb (0.6391, 0.6391, 0.2783)  4 Er 3.32, 5 Sm 3.32-3.42

Values from the calculation:
Formation energy from the elements in eV/atom: -0.5982
Symmetry: I4/mmm, No. 139
Crystal system: tetragonal